Model a:
The following is a PBE+U calculation of a relaxed structure of Ni2BrF, from Alexandria.

Geometry as POSCAR:
```
Ni2BrF
1.0
-0.1706 -4.8167 3.8466
5.9556 -1.1214 -1.1400
3.7388 -1.0084 3.8460
Ni Br F
4 2 2
Direct
0.5815 0.1250 0.2500
0.1685 0.6250 0.2500
0.3750 0.4185 0.7500
0.8750 0.8315 0.7500
0.0000 0.0000 0.0000
0.7500 0.2500 0.5000
0.5000 0.5000 0.0000
0.2500 0.7500 0.5000
```

Results
Space group: I-42d

=====

Model b:
The following is a PBE+U calculation of a relaxed structure of Ni2BrF, from Alexandria.

Geometry as POSCAR:
```
Ni2BrF
1.0
0.0000 2.9678 2.9678
2.9678 0.0000 2.9678
2.9678 2.9678 0.0000
Ni Br F
2 1 1
Direct
0.2500 0.2500 0.2500
0.7500 0.7500 0.7500
0.5000 0.5000 0.5000
0.0000 0.0000 0.0000
```

Results
Space group: Fm-3m

=====

Ranked by calculated energy, most stable first: model a, model b.

=====

Model a:
The following is a PBE+U calculation of a relaxed structure of NiBrF2, from Alexandria.

Geometry as POSCAR:
```
NiBrF2
1.0
-0.9317 -0.9077 5.5650
-4.8801 -2.6956 -1.2567
-0.4136 -6.1756 1.8580
Ni Br F
2 2 4
Direct
0.5000 0.5000 0.0000
0.2500 0.7500 0.5000
0.0000 0.0000 0.0000
0.7500 0.2500 0.5000
0.3799 0.1250 0.2500
0.3701 0.6250 0.2500
0.3750 0.6201 0.7500
0.8750 0.6299 0.7500
```

Results
Space group: I-42d

=====

Model b:
The following is a PBE+U calculation of a relaxed structure of NiBrF2, from Alexandria.

Geometry as POSCAR:
```
NiBrF2
1.0
0.0000 3.0533 3.0533
3.0533 0.0000 3.0533
3.0533 3.0533 0.0000
Ni Br F
1 1 2
Direct
0.0000 0.0000 0.0000
0.5000 0.5000 0.5000
0.2500 0.2500 0.2500
0.7500 0.7500 0.7500
```

Results
Space group: Fm-3m

=====

Model c:
The following is a PBE+U calculation of a relaxed structure of NiBrF2, from Alexandria.

Geometry as POSCAR:
```
NiBrF2
1.0
1.7717 0.0000 9.1337
-0.8858 1.5343 9.1337
-0.8858 -1.5343 9.1337
Ni Br F
1 1 2
Direct
0.5000 0.5000 0.5000
0.0000 0.0000 0.0000
0.8697 0.8697 0.8697
0.1303 0.1303 0.1303
```

Results
Space group: R-3m

=====

Ranked by calculated energy, most stable first: model c, model a, model b.

=====

Model a:
The following is a PBE+U calculation of a relaxed structure of NiBrF3, from Alexandria.

Geometry as POSCAR:
```
NiBrF3
1.0
-0.2939 4.1080 -1.7957
-2.4822 1.3495 3.4935
3.7335 1.2205 2.1812
Ni Br F
1 1 3
Direct
0.5000 0.5000 0.5000
0.0000 0.0000 0.0000
0.0000 0.5000 0.0000
0.0000 0.0000 0.5000
0.5000 0.0000 0.0000
```

Results
Space group: Pm-3m

=====

Model b:
The following is a PBE+U calculation of a relaxed structure of NiBrF3, from Alexandria.

Geometry as POSCAR:
```
NiBrF3
1.0
4.0824 0.0000 0.0000
0.0000 4.0824 0.0000
0.0000 0.0000 4.0824
Ni Br F
1 1 3
Direct
0.0000 0.0000 0.0000
0.5000 0.5000 0.5000
0.0000 0.5000 0.0000
0.0000 0.0000 0.5000
0.5000 0.0000 0.0000
```

Results
Space group: Pm-3m

=====

Ranked by calculated energy, most stable first: model b, model a.

=====

Model a:
The following is a PBE+U calculation of a relaxed structure of Ni2BrF2, from Alexandria.

Geometry as POSCAR:
```
Ni2BrF2
1.0
-2.2324 0.4705 2.7948
-2.8168 0.0241 -2.2540
-2.9772 -4.9298 0.7805
Ni Br F
2 1 2
Direct
0.3676 0.3676 0.2648
0.6324 0.6324 0.7352
0.0000 0.0000 0.0000
0.7500 0.2500 0.5000
0.2500 0.7500 0.5000
```

Results
Space group: I4/mmm

=====

Model b:
The following is a PBE+U calculation of a relaxed structure of Ni2BrF2, from Alexandria.

Geometry as POSCAR:
```
Ni2BrF2
1.0
6.9424 0.0000 0.0000
0.0000 6.9424 0.0000
0.0000 0.0000 3.7788
Ni Br F
4 2 4
Direct
0.1818 0.6818 0.0000
0.6818 0.8182 0.0000
0.8182 0.3182 0.0000
0.3182 0.1818 0.0000
0.0000 0.0000 0.0000
0.5000 0.5000 0.0000
0.1462 0.6462 0.5000
0.6462 0.8538 0.5000
0.8538 0.3538 0.5000
0.3538 0.1462 0.5000
```

Results
Space group: P4/mbm

=====

Ranked by calculated energy, most stable first: model b, model a.

=====

Model a:
The following is a PBE+U calculation of a relaxed structure of NiBr3F, from Alexandria.

Geometry as POSCAR:
```
NiBr3F
1.0
-3.4462 -2.9850 -2.1173
-0.5846 -2.4220 4.3660
-3.6127 3.2394 1.3133
Ni Br F
1 3 1
Direct
0.0000 0.0000 0.0000
0.0000 0.5000 0.0000
0.0000 0.0000 0.5000
0.5000 0.0000 0.0000
0.5000 0.5000 0.5000
```

Results
Space group: Pm-3m

=====

Model b:
The following is a PBE+U calculation of a relaxed structure of NiBr3F, from Alexandria.

Geometry as POSCAR:
```
NiBr3F
1.0
-0.3714 2.5244 -4.1990
-4.4775 -1.8844 -0.7368
-1.9890 3.7707 2.4429
Ni Br F
1 3 1
Direct
0.5000 0.5000 0.5000
0.0000 0.5000 0.0000
0.0000 0.0000 0.5000
0.5000 0.0000 0.0000
0.0000 0.0000 0.0000
```

Results
Space group: Pm-3m

=====

Ranked by calculated energy, most stable first: model a, model b.

=====

Model a:
The following is a PBE+U calculation of a relaxed structure of NiBrOF2, from Alexandria.

Geometry as POSCAR:
```
NiBrOF2
1.0
-1.0865 3.3408 1.1513
-2.7431 -0.0381 -2.4781
-2.9844 -2.1203 3.3361
Ni O Br F
1 1 1 2
Direct
0.0000 0.0000 0.0000
0.0000 0.0000 0.5000
0.5000 0.5000 0.5000
0.0000 0.5000 0.0000
0.5000 0.0000 0.0000
```

Results
Space group: P4/mmm

=====

Model b:
The following is a PBE+U calculation of a relaxed structure of NiBrOF2, from Alexandria.

Geometry as POSCAR:
```
NiBrOF2
1.0
-2.0483 -3.6411 2.2157
3.9852 -2.5079 -0.4371
1.1902 1.3211 3.2712
Ni O Br F
1 1 1 2
Direct
0.5000 0.5000 0.5000
0.0000 0.0000 0.5000
0.0000 0.0000 0.0000
0.0000 0.5000 0.0000
0.5000 0.0000 0.0000
```

Results
Space group: P4/mmm

=====

Ranked by calculated energy, most stable first: model a, model b.